Compound: SrSc2W2
Source: the Alexandria database
Functional: PBE
Structure: optimized geometry

a b c (Å): 3.6890 3.6890 11.0012
angles (deg): 80.35 80.35 90.00
With the nearest neighbours (Å) after each atom.
Atoms (fractional coordinates):
Sc  0.3554  0.3554  0.2892  4 W 2.91
Sc  0.6446  0.6446  0.7108  4 W 2.91
Sr  0.0000  0.0000  0.0000  4 Sr 3.69, 8 Sc 4.04
W  0.7500  0.2500  0.5000  4 W 2.61, 4 Sc 2.91
W  0.2500  0.7500  0.5000  4 W 2.61, 4 Sc 2.91

Values from the calculation:
Crystal system = tetragonal
Uncorrected energy = -37.077 eV/cell
DFT formation energy = 61 kJ/mol of atoms
E above lowest polymorph = 0.077 eV per atom
Space group = I4/mmm, No. 139

=====

Compound: SrScW2
Source: the Alexandria database
Functional: PBE
Structure: optimized geometry

a b c (Å): 2.8319 2.8319 10.2444
angles (deg): 90.00 90.00 96.55
With the nearest neighbours (Å) after each atom.
Atoms (fractional coordinates):
Sc  0.5000  0.5000  0.2500  4 Sc 2.83, 8 W 2.98-3.13
Sr  0.5000  0.5000  0.7500  4 Sr 2.83
W  0.0000  0.0000  0.0242  4 W 2.83, 4 Sc 2.98-3.13
W  0.0000  0.0000  0.4758  4 W 2.83, 4 Sc 2.98-3.13

Values from the calculation:
Crystal system = orthorhombic
Uncorrected energy = -30.574 eV/cell
DFT formation energy = 81 kJ/mol of atoms
E above lowest polymorph = 0.378 eV per atom
Space group = Cmmm, No. 65

=====

Compound: SrScW2
Source: the Alexandria database
Functional: PBE
Structure: optimized geometry

a b c (Å): 4.5045 4.5045 7.4868
angles (deg): 86.06 86.06 41.39
With the nearest neighbours (Å) after each atom.
Atoms (fractional coordinates):
Sc  0.5174  0.5174  0.4145  5 W 2.74-2.97
Sr  0.7412  0.7412  0.7863  3 W 3.14-3.40, 2 Sr 3.18, 1 Sc 3.48
W  0.9829  0.9829  0.0853  3 W 2.58-2.60
W  0.2585  0.2585  0.2139  3 W 2.58-2.60, 1 Sc 2.74

Values from the calculation:
Crystal system = monoclinic
Uncorrected energy = -31.239 eV/cell
DFT formation energy = 65 kJ/mol of atoms
E above lowest polymorph = 0.212 eV per atom
Space group = Cm, No. 8

=====

Compound: SrScW2
Source: the Alexandria database
Functional: PBE
Structure: optimized geometry

a b c (Å): 4.3228 3.0187 7.3928
angles (deg): 81.41 90.00 90.00
With the nearest neighbours (Å) after each atom.
Atoms (fractional coordinates):
Sc  0.0000  0.5261  0.4194  3 W 2.72-2.82, 2 Sc 3.02
Sr  0.5000  0.7303  0.7819  2 Sr 3.02, 3 W 3.27-3.37
W  0.0000  0.0089  0.0772  2 W 2.55, 1 Sc 2.72
W  0.5000  0.2346  0.2215  2 W 2.55, 2 Sc 2.82

Values from the calculation:
Crystal system = monoclinic
Uncorrected energy = -31.406 eV/cell
DFT formation energy = 61 kJ/mol of atoms
E above lowest polymorph = 0.170 eV per atom
Space group = Pm, No. 6

=====

Compound: SrScW2
Source: the Alexandria database
Functional: PBE
Structure: optimized geometry

a b c (Å): 6.0408 6.0408 6.0408
angles (deg): 146.60 129.27 62.11
With the nearest neighbours (Å) after each atom.
Atoms (fractional coordinates):
Sc  0.5091  0.5091  0.0000  8 W 3.15-3.44, 4 Sr 3.37-3.45, 2 Sc 3.47
Sr  0.2302  0.7302  0.5000  8 W 3.19-3.54, 4 Sc 3.37-3.45, 2 Sr 3.47
W  0.9640  0.9640  0.0000  2 W 2.45
W  0.7966  0.2966  0.5000  2 W 2.45

Values from the calculation:
Crystal system = orthorhombic
Uncorrected energy = -30.941 eV/cell
DFT formation energy = 72 kJ/mol of atoms
E above lowest polymorph = 0.287 eV per atom
Space group = Imm2, No. 44

=====

Compound: Sr2ScW
Source: the Alexandria database
Functional: PBE
Structure: optimized geometry

a b c (Å): 3.7208 3.7088 9.8003
angles (deg): 68.07 90.00 90.00
With the nearest neighbours (Å) after each atom.
Atoms (fractional coordinates):
Sc  0.5000  0.8257  0.6754  4 W 2.82
Sr  0.0000  0.0615  0.9410  1 W 3.43, 4 Sc 3.56-3.57, 4 Sr 3.71-3.72
Sr  0.5000  0.1767  0.3200  1 Sc 3.23, 4 W 3.44
W  0.0000  0.4361  0.5636  4 Sc 2.82

Values from the calculation:
Crystal system = monoclinic
Uncorrected energy = -20.186 eV/cell
DFT formation energy = 59 kJ/mol of atoms
E above lowest polymorph = 0.000 eV per atom
Space group = Pm, No. 6

=====

Compound: SrScW3
Source: the Alexandria database
Functional: PBE
Structure: optimized geometry

a b c (Å): 4.8528 4.8528 4.8528
angles (deg): 90.00 90.00 90.00
With the nearest neighbours (Å) after each atom.
Atoms (fractional coordinates):
Sc  0.0000  0.0000  0.0000  6 W 2.43
Sr  0.5000  0.5000  0.5000  12 W 3.43
W  0.0000  0.5000  0.0000  2 Sc 2.43
W  0.0000  0.0000  0.5000  2 Sc 2.43
W  0.5000  0.0000  0.0000  2 Sc 2.43

Values from the calculation:
Crystal system = cubic
Uncorrected energy = -35.992 eV/cell
DFT formation energy = 210 kJ/mol of atoms
E above lowest polymorph = 0.000 eV per atom
Space group = Pm-3m, No. 221

=====

Compound: SrScW
Source: the Alexandria database
Functional: PBE
Structure: optimized geometry

a b c (Å): 4.9944 4.9944 4.9944
angles (deg): 60.00 60.00 60.00
With the nearest neighbours (Å) after each atom.
Atoms (fractional coordinates):
Sc  0.5000  0.5000  0.5000  4 Sr 3.06
Sr  0.2500  0.2500  0.2500  4 Sc 3.06, 4 W 3.06
W  0.0000  0.0000  0.0000  4 Sr 3.06

Values from the calculation:
Crystal system = cubic
Uncorrected energy = -14.684 eV/cell
DFT formation energy = 202 kJ/mol of atoms
E above lowest polymorph = 1.328 eV per atom
Space group = F-43m, No. 216